#A
Density functional theory data (PBE) for HfCo3S after structural relaxation.

## Properties
SG: Pm-3m (221)

Structure (POSCAR):
```
HfCo3S
1.0
4.111 0.000 0.000
0.000 4.111 0.000
0.000 0.000 4.111
Hf Co S
1 3 1
Direct
0.000 0.000 0.000
0.000 0.500 0.500
0.500 0.000 0.500
0.500 0.500 0.000
0.500 0.500 0.500
```


#B
Density functional theory data (PBE) for HfCo3S after structural relaxation.

## Properties
SG: Pm-3m (221)

Structure (POSCAR):
```
HfCo3S
1.0
4.585 0.000 0.000
0.000 4.585 0.000
0.000 0.000 4.585
Hf Co S
1 3 1
Direct
0.000 0.000 0.000
0.000 0.000 0.500
0.000 0.500 0.000
0.500 0.000 0.000
0.500 0.500 0.500
```


Q: Which of them is the least stable? A: #B.


#A
Density functional theory data (PBE) for HfCoS3 after structural relaxation.

## Properties
SG: Cmc2_1 (36)

Structure (POSCAR):
```
HfCoS3
1.0
1.790 -10.199 0.000
1.790 10.199 0.000
0.000 0.000 5.911
Hf Co S
2 2 6
Direct
0.166 0.834 0.500
0.834 0.166 0.000
0.378 0.622 0.626
0.622 0.378 0.126
0.069 0.931 0.242
0.274 0.726 0.772
0.380 0.620 0.252
0.620 0.380 0.752
0.726 0.274 0.272
0.931 0.069 0.742
```


#B
Density functional theory data (PBE) for HfCoS3 after structural relaxation.

## Properties
SG: Pm-3m (221)

Structure (POSCAR):
```
HfCoS3
1.0
4.903 0.000 0.000
0.000 4.903 0.000
0.000 0.000 4.903
Hf Co S
1 1 3
Direct
0.000 0.000 0.000
0.500 0.500 0.500
0.000 0.000 0.500
0.000 0.500 0.000
0.500 0.000 0.000
```


#C
Density functional theory data (PBE) for HfCoS3 after structural relaxation.

## Properties
SG: Pm-3m (221)

Structure (POSCAR):
```
HfCoS3
1.0
4.354 0.000 0.000
0.000 4.354 0.000
0.000 0.000 4.354
Hf Co S
1 1 3
Direct
0.000 0.000 0.000
0.500 0.500 0.500
0.000 0.500 0.500
0.500 0.000 0.500
0.500 0.500 0.000
```


Q: Which of them is the least stable? A: #B.


#A
Density functional theory data (PBE) for Hf4CoSb after structural relaxation.

## Properties
SG: P2_1/m (11)

Structure (POSCAR):
```
Hf4CoSb
1.0
5.596 0.000 0.000
0.000 6.075 0.000
-0.924 0.000 7.411
Hf Co Sb
8 2 2
Direct
0.108 0.250 0.054
0.136 0.750 0.347
0.378 0.504 0.786
0.378 0.996 0.786
0.622 0.004 0.214
0.622 0.496 0.214
0.864 0.250 0.653
0.892 0.750 0.946
0.324 0.750 0.050
0.676 0.250 0.950
0.288 0.250 0.440
0.712 0.750 0.560
```


#B
Density functional theory data (PBE) for Hf4CoSb after structural relaxation.

## Properties
SG: P2_1/c (14)

Structure (POSCAR):
```
Hf4CoSb
1.0
7.427 0.000 0.000
0.000 6.756 0.000
-1.783 0.000 5.309
Hf Co Sb
8 2 2
Direct
0.142 0.151 0.140
0.142 0.349 0.640
0.253 0.668 0.296
0.253 0.832 0.796
0.747 0.168 0.204
0.747 0.332 0.704
0.858 0.651 0.360
0.858 0.849 0.860
0.000 0.000 0.500
0.000 0.500 0.000
0.500 0.000 0.500
0.500 0.500 0.000
```


Q: Which of them is the least stable? A: #B.


#A
Density functional theory data (PBE) for Hf5CoSb2 after structural relaxation.

## Properties
SG: Cmcm (63)

Structure (POSCAR):
```
Hf5CoSb2
1.0
2.467 -6.648 0.000
2.467 6.648 0.000
0.000 0.000 12.491
Hf Co Sb
10 2 4
Direct
0.106 0.894 0.616
0.106 0.894 0.884
0.294 0.706 0.250
0.311 0.689 0.522
0.311 0.689 0.978
0.689 0.311 0.022
0.689 0.311 0.478
0.706 0.294 0.750
0.894 0.106 0.116
0.894 0.106 0.384
0.244 0.756 0.750
0.756 0.244 0.250
0.112 0.888 0.119
0.112 0.888 0.381
0.888 0.112 0.619
0.888 0.112 0.881
```


#B
Density functional theory data (PBE) for Hf5CoSb2 after structural relaxation.

## Properties
SG: Pbam (55)

Structure (POSCAR):
```
Hf5CoSb2
1.0
7.310 0.000 0.000
0.000 11.827 0.000
0.000 0.000 3.930
Hf Co Sb
10 2 4
Direct
0.000 0.000 0.000
0.145 0.313 0.000
0.177 0.578 0.500
0.323 0.078 0.500
0.355 0.813 0.000
0.500 0.500 0.000
0.645 0.187 0.000
0.677 0.922 0.500
0.823 0.422 0.500
0.855 0.687 0.000
0.000 0.500 0.000
0.500 0.000 0.000
0.059 0.823 0.500
0.441 0.323 0.500
0.559 0.677 0.500
0.941 0.177 0.500
```


Q: Which of them is the least stable? A: #A.


#A
Density functional theory data (PBE) for HfScCo after structural relaxation.

## Properties
SG: P2_1/m (11)

Structure (POSCAR):
```
HfScCo
1.0
4.909 0.000 0.000
0.000 4.312 0.000
-1.514 0.000 5.428
Hf Sc Co
2 2 2
Direct
0.048 0.250 0.187
0.952 0.750 0.813
0.420 0.250 0.726
0.580 0.750 0.274
0.134 0.750 0.428
0.866 0.250 0.572
```


#B
Density functional theory data (PBE) for HfScCo after structural relaxation.

## Properties
SG: C2/m (12)

Structure (POSCAR):
```
HfScCo
1.0
5.491 -1.711 0.000
5.491 1.711 0.000
-4.080 0.000 5.945
Hf Sc Co
2 2 2
Direct
0.167 0.167 0.074
0.833 0.833 0.926
0.412 0.412 0.624
0.588 0.588 0.376
0.135 0.135 0.690
0.865 0.865 0.310
```


Q: Which of them is the least stable? A: #A.


#A
Density functional theory data (PBE) for HfScCo after structural relaxation.

## Properties
SG: P2_1/m (11)

Structure (POSCAR):
```
HfScCo
1.0
4.836 0.000 0.000
0.000 4.190 0.000
-1.719 0.000 5.704
Hf Sc Co
2 2 2
Direct
0.081 0.250 0.302
0.919 0.750 0.698
0.472 0.250 0.816
0.528 0.750 0.184
0.353 0.750 0.558
0.647 0.250 0.442
```


#B
Density functional theory data (PBE) for HfScCo after structural relaxation.

## Properties
SG: I4mm (107)

Structure (POSCAR):
```
HfScCo
1.0
-1.586 1.586 5.453
1.586 -1.586 5.453
1.586 1.586 -5.453
Hf Sc Co
1 1 1
Direct
0.000 0.000 0.000
0.715 0.715 0.000
0.368 0.368 0.000
```


Q: Which of them is the least stable? A: #B.


#A
Density functional theory data (PBE) for Hf3ScCo after structural relaxation.

## Properties
SG: C2/m (12)

Structure (POSCAR):
```
Hf3ScCo
1.0
5.186 -3.768 0.000
5.186 3.768 0.000
-4.417 0.000 5.456
Hf Sc Co
6 2 2
Direct
0.004 0.602 0.267
0.076 0.076 0.274
0.398 0.996 0.733
0.602 0.004 0.267
0.924 0.924 0.726
0.996 0.398 0.733
0.463 0.463 0.700
0.537 0.537 0.300
0.228 0.228 0.084
0.772 0.772 0.916
```


#B
Density functional theory data (PBE) for Hf3ScCo after structural relaxation.

## Properties
SG: Pm-3m (221)

Structure (POSCAR):
```
Hf3ScCo
1.0
4.828 0.000 0.000
0.000 4.828 0.000
0.000 0.000 4.828
Hf Sc Co
3 1 1
Direct
0.000 0.000 0.500
0.000 0.500 0.000
0.500 0.000 0.000
0.500 0.500 0.500
0.000 0.000 0.000
```


Q: Which of them is the least stable? A: #B.


#A
Density functional theory data (PBE) for HfSc2Co2 after structural relaxation.

## Properties
SG: P4/mbm (127)

Structure (POSCAR):
```
HfSc2Co2
1.0
6.462 0.000 0.000
0.000 6.462 0.000
0.000 0.000 4.226
Hf Sc Co
2 4 4
Direct
0.000 0.000 0.000
0.500 0.500 0.000
0.176 0.324 0.500
0.324 0.824 0.500
0.676 0.176 0.500
0.824 0.676 0.500
0.121 0.621 0.000
0.379 0.121 0.000
0.621 0.879 0.000
0.879 0.379 0.000
```


#B
Density functional theory data (PBE) for HfSc2Co2 after structural relaxation.

## Properties
SG: P4/mbm (127)

Structure (POSCAR):
```
HfSc2Co2
1.0
7.604 0.000 0.000
0.000 7.604 0.000
0.000 0.000 2.881
Hf Sc Co
2 4 4
Direct
0.000 0.000 0.000
0.500 0.500 0.000
0.133 0.367 0.000
0.367 0.867 0.000
0.633 0.133 0.000
0.867 0.633 0.000
0.171 0.671 0.500
0.329 0.171 0.500
0.671 0.829 0.500
0.829 0.329 0.500
```


Q: Which of them is the least stable? A: #B.


#A
Density functional theory data (PBE) for HfSc2Co2 after structural relaxation.

## Properties
SG: Cmmm (65)

Structure (POSCAR):
```
HfSc2Co2
1.0
1.560 -9.425 0.000
1.560 9.425 0.000
0.000 0.000 3.076
Hf Sc Co
1 2 2
Direct
0.000 0.000 0.000
0.167 0.833 0.000
0.833 0.167 0.000
0.418 0.582 0.500
0.582 0.418 0.500
```


#B
Density functional theory data (PBE) for HfSc2Co2 after structural relaxation.

## Properties
SG: C2/c (15)

Structure (POSCAR):
```
HfSc2Co2
1.0
4.706 -2.626 0.000
4.706 2.626 0.000
-1.819 0.000 7.155
Hf Sc Co
2 4 4
Direct
0.140 0.860 0.750
0.860 0.140 0.250
0.203 0.499 0.351
0.499 0.203 0.851
0.501 0.797 0.149
0.797 0.501 0.649
0.008 0.705 0.001
0.295 0.992 0.499
0.705 0.008 0.501
0.992 0.295 0.999
```


#C
Density functional theory data (PBE) for HfSc2Co2 after structural relaxation.

## Properties
SG: I4/mmm (139)

Structure (POSCAR):
```
HfSc2Co2
1.0
-2.260 2.260 4.463
2.260 -2.260 4.463
2.260 2.260 -4.463
Hf Sc Co
1 2 2
Direct
0.000 0.000 0.000
0.341 0.341 0.000
0.659 0.659 0.000
0.250 0.750 0.500
0.750 0.250 0.500
```


Q: Which of them is the least stable? A: #C.


#A
Density functional theory data (PBE) for HfSc2Co3 after structural relaxation.

## Properties
SG: P4/mmm (123)

Structure (POSCAR):
```
HfSc2Co3
1.0
3.128 0.000 0.000
0.000 3.128 0.000
0.000 0.000 9.494
Hf Sc Co
1 2 3
Direct
0.000 0.000 0.000
0.000 0.000 0.337
0.000 0.000 0.663
0.500 0.500 0.159
0.500 0.500 0.500
0.500 0.500 0.841
```


#B
Density functional theory data (PBE) for HfSc2Co3 after structural relaxation.

## Properties
SG: P-3m1 (164)

Structure (POSCAR):
```
HfSc2Co3
1.0
4.434 0.000 0.000
-2.217 3.840 0.000
0.000 0.000 10.868
Hf Sc Co
2 4 6
Direct
0.333 0.667 0.168
0.667 0.333 0.832
0.000 0.000 0.000
0.000 0.000 0.500
0.333 0.667 0.663
0.667 0.333 0.337
0.000 0.000 0.246
0.000 0.000 0.754
0.333 0.667 0.413
0.333 0.667 0.916
0.667 0.333 0.084
0.667 0.333 0.587
```


Q: Which of them is the least stable? A: #B.


#A
Density functional theory data (PBE) for Hf3ScCo2 after structural relaxation.

## Properties
SG: Pmc2_1 (26)

Structure (POSCAR):
```
Hf3ScCo2
1.0
4.411 0.000 0.000
0.000 7.784 0.000
0.000 0.000 6.368
Hf Sc Co
6 2 4
Direct
0.000 0.075 0.000
0.000 0.335 0.366
0.000 0.665 0.866
0.000 0.925 0.500
0.500 0.169 0.659
0.500 0.831 0.159
0.500 0.423 0.028
0.500 0.577 0.528
0.000 0.331 0.762
0.000 0.669 0.262
0.500 0.160 0.261
0.500 0.840 0.761
```


#B
Density functional theory data (PBE) for Hf3ScCo2 after structural relaxation.

## Properties
SG: C2/m (12)

Structure (POSCAR):
```
Hf3ScCo2
1.0
6.979 -2.328 0.000
6.979 2.328 0.000
-2.832 0.000 6.763
Hf Sc Co
6 2 4
Direct
0.061 0.061 0.228
0.312 0.312 0.503
0.385 0.385 0.993
0.615 0.615 0.007
0.688 0.688 0.497
0.939 0.939 0.772
0.143 0.143 0.721
0.857 0.857 0.279
0.220 0.220 0.120
0.500 0.500 0.343
0.500 0.500 0.657
0.780 0.780 0.880
```


Q: Which of them is the least stable? A: #B.